# Y4AuC2 (PBE, relaxed)
# - ΔH_f (0 K) (eV per atom) = -0.168
# - total magnetization (μB per formula unit) = 0.00
# - N(E_F) (states/eV per cell) = 13.12
# - E (eV/f.u.) = -48.8
data_Y4AuC2
_chemical_formula_sum 'Y8 Au2 C4'
_cell_length_a 5.480
_cell_length_b 5.480
_cell_length_c 11.787
_cell_angle_alpha 90.00
_cell_angle_beta 90.00
_cell_angle_gamma 90.00
_space_group_name_H-M_alt 'I 4/m m m'
_space_group_IT_number 139
_space_group_name_Hall '-I 4 2'
loop_
_atom_site_label
_atom_site_fract_x
_atom_site_fract_y
_atom_site_fract_z
Y1 0.000 0.000 0.249
Y2 0.000 0.500 0.000
Au1 0.000 0.000 0.500
C1 0.000 0.000 0.056



# Na4SnBi (PBE, relaxed)
# - ΔH_f (0 K) (eV per atom) = -0.229
# - total magnetization (μB per formula unit) = 0.00
# - N(E_F) (states/eV per cell) = 12.22
# - E (eV/f.u.) = -14.5
data_Na4SnBi
_chemical_formula_sum 'Na16 Sn4 Bi4'
_cell_length_a 16.692
_cell_length_b 8.727
_cell_length_c 5.541
_cell_angle_alpha 90.00
_cell_angle_beta 108.32
_cell_angle_gamma 90.00
_space_group_name_H-M_alt 'C 1 2/m 1'
_space_group_IT_number 12
loop_
_space_group_symop_operation_xyz
'x,y,z'
'-x,-y,-z'
'-x,y,-z'
'x,-y,z'
'x+1/2,y+1/2,z'
'-x+1/2,-y+1/2,-z'
'-x+1/2,y+1/2,-z'
'x+1/2,-y+1/2,z'
loop_
_atom_site_label
_atom_site_fract_x
_atom_site_fract_y
_atom_site_fract_z
Na1 0.000 0.172 0.000
Na2 0.154 0.239 0.656
Na3 0.191 0.500 0.206
Sn1 0.013 0.500 0.759
Bi1 0.185 0.000 0.185



# TiNb2V (PBE, relaxed)
# - ΔH_f (0 K) (eV per atom) = 0.053
# - total magnetization (μB per formula unit) = 0.00
# - N(E_F) (states/eV per cell) = 13.99
# - E (eV/f.u.) = -36.9
data_TiNb2V
_chemical_formula_sum 'Ti2 Nb4 V2'
_cell_length_a 2.834
_cell_length_b 8.892
_cell_length_c 5.408
_cell_angle_alpha 90.00
_cell_angle_beta 99.63
_cell_angle_gamma 90.00
_space_group_name_H-M_alt 'P 1 21/m 1'
_space_group_IT_number 11
loop_
_space_group_symop_operation_xyz
'x,y,z'
'-x,-y,-z'
'-x,y+1/2,-z'
'x,-y+1/2,z'
loop_
_atom_site_label
_atom_site_fract_x
_atom_site_fract_y
_atom_site_fract_z
Ti1 0.012 0.250 0.490
Nb1 0.266 0.501 0.245
V1 0.493 0.750 0.010



# La2FeC (PBE, relaxed)
# - ΔH_f (0 K) (eV per atom) = -0.111
# - total magnetization (μB per formula unit) = 0.71
# - N(E_F) (states/eV per cell) = 8.01
# - E (eV/f.u.) = -28.0
data_La2FeC
_chemical_formula_sum 'La4 Fe2 C2'
_cell_length_a 3.699
_cell_length_b 3.724
_cell_length_c 14.536
_cell_angle_alpha 90.00
_cell_angle_beta 90.00
_cell_angle_gamma 90.00
_space_group_name_H-M_alt 'I m m m'
_space_group_IT_number 71
_space_group_name_Hall '-I 2 2'
loop_
_atom_site_label
_atom_site_fract_x
_atom_site_fract_y
_atom_site_fract_z
La1 0.000 0.000 0.121
Fe1 0.000 0.000 0.500
C1 0.000 0.500 0.000



# NiPb2W (PBE, relaxed)
# - ΔH_f (0 K) (eV per atom) = 0.399
# - total magnetization (μB per formula unit) = 0.00
# - N(E_F) (states/eV per cell) = 2.68
# - E (eV/f.u.) = -24.6
data_NiPb2W
_chemical_formula_sum 'Ni1 Pb2 W1'
_cell_length_a 3.074
_cell_length_b 3.074
_cell_length_c 9.470
_cell_angle_alpha 90.00
_cell_angle_beta 90.00
_cell_angle_gamma 90.00
_space_group_name_H-M_alt 'P 4 m m'
_space_group_IT_number 99
loop_
_space_group_symop_operation_xyz
'x,y,z'
'-y,x,z'
'-x,-y,z'
'y,-x,z'
'-x,y,z'
'y,x,z'
'x,-y,z'
'-y,-x,z'
loop_
_atom_site_label
_atom_site_fract_x
_atom_site_fract_y
_atom_site_fract_z
Ni1 0.000 0.000 0.000
Pb1 0.000 0.000 0.610
Pb2 0.500 0.500 0.212
W1 0.500 0.500 0.857



# LiTb3Sn2 (PBE, relaxed)
# - ΔH_f (0 K) (eV per atom) = -0.524
# - total magnetization (μB per formula unit) = 1.88
# - N(E_F) (states/eV per cell) = 15.19
# - E (eV/f.u.) = -27.0
data_LiTb3Sn2
_chemical_formula_sum 'Li4 Tb12 Sn8'
_cell_length_a 6.364
_cell_length_b 16.464
_cell_length_c 6.315
_cell_angle_alpha 90.00
_cell_angle_beta 90.00
_cell_angle_gamma 90.00
_space_group_name_H-M_alt 'I b a m'
_space_group_IT_number 72
_space_group_name_Hall '-I 2 2c'
loop_
_atom_site_label
_atom_site_fract_x
_atom_site_fract_y
_atom_site_fract_z
Li1 0.000 0.000 0.250
Tb1 0.000 0.500 0.250
Tb2 0.246 0.177 0.000
Sn1 0.242 0.132 0.500



# Sc2InTe (PBE, relaxed)
# - total magnetization (μB per formula unit) = 0.00
# - N(E_F) (states/eV per cell) = 2.31
# - E_form (uncorrected) (eV per atom) = -0.6270
# - E (eV/f.u.) = -21.1
data_Sc2InTe
_chemical_formula_sum 'Sc2 In1 Te1'
_cell_length_a 3.869
_cell_length_b 4.472
_cell_length_c 5.897
_cell_angle_alpha 90.00
_cell_angle_beta 90.67
_cell_angle_gamma 90.00
_space_group_name_H-M_alt 'P 1 m 1'
_space_group_IT_number 6
loop_
_space_group_symop_operation_xyz
'x,y,z'
'x,-y,z'
loop_
_atom_site_label
_atom_site_fract_x
_atom_site_fract_y
_atom_site_fract_z
Sc1 0.000 0.000 0.000
Sc2 0.499 0.500 0.503
In1 0.000 0.000 0.500
Te1 0.500 0.500 0.003



# HfBeTlF2 (PBE, relaxed)
# - total magnetization (μB per formula unit) = 0.00
# - N(E_F) (states/eV per cell) = 2.35
# - E_form (uncorrected) (eV per atom) = -1.3743
# - E (eV/f.u.) = -26.7
data_HfBeTlF2
_chemical_formula_sum 'Hf1 Be1 Tl1 F2'
_cell_length_a 4.096
_cell_length_b 4.096
_cell_length_c 5.488
_cell_angle_alpha 90.00
_cell_angle_beta 90.00
_cell_angle_gamma 90.00
_space_group_name_H-M_alt 'P 4/m m m'
_space_group_IT_number 123
_space_group_name_Hall '-P 4 2'
loop_
_atom_site_label
_atom_site_fract_x
_atom_site_fract_y
_atom_site_fract_z
Hf1 0.000 0.000 0.000
Be1 0.000 0.000 0.500
Tl1 0.500 0.500 0.500
F1 0.000 0.500 0.000